Compound: Ca4W
Source: Alexandria via LeMat-Bulk
Functional: GGA-PBE
Structure: relaxed

```
data_Ca4W
_cell_length_a 6.2116
_cell_length_b 6.2116
_cell_length_c 6.2116
_cell_angle_alpha 109.47
_cell_angle_beta 109.47
_cell_angle_gamma 109.47
_space_group_name_H-M_alt 'P 1'
_space_group_IT_number 1
loop_
_space_group_symop_operation_xyz
'x,y,z'
loop_
_atom_site_label
_atom_site_type_symbol
_atom_site_fract_x
_atom_site_fract_y
_atom_site_fract_z
Ca1 Ca 0.0000 0.0000 0.5000
Ca2 Ca 0.5000 0.5000 0.5000
Ca3 Ca 0.0000 0.5000 0.0000
Ca4 Ca 0.5000 0.0000 0.0000
W1 W 0.0000 0.0000 0.0000
```

Results
- total magnetization (μB per cell) = 1.4
- DFT formation energy (eV/atom) = 0.85
- D(E_F) (states/eV/atom) = 0.79

Compound: CaW3
Source: Alexandria via LeMat-Bulk
Functional: GGA-PBE
Structure: relaxed

```
data_CaW3
_cell_length_a 2.8472
_cell_length_b 2.8472
_cell_length_c 10.3968
_cell_angle_alpha 90.00
_cell_angle_beta 90.00
_cell_angle_gamma 120.00
_space_group_name_H-M_alt 'P 1'
_space_group_IT_number 1
loop_
_space_group_symop_operation_xyz
'x,y,z'
loop_
_atom_site_label
_atom_site_type_symbol
_atom_site_fract_x
_atom_site_fract_y
_atom_site_fract_z
W1 W 0.6667 0.3333 0.7323
W2 W 0.6667 0.3333 0.2677
W3 W 0.0000 0.0000 0.5000
Ca1 Ca 0.0000 0.0000 0.0000
```

Results
- total magnetization (μB per cell) = 0.0
- DFT formation energy (eV/atom) = 0.90
- D(E_F) (states/eV/atom) = 1.38

Compound: CaW2
Source: Alexandria via LeMat-Bulk
Functional: GGA-PBE
Structure: relaxed

```
data_CaW2
_cell_length_a 5.0530
_cell_length_b 5.0530
_cell_length_c 5.0530
_cell_angle_alpha 148.78
_cell_angle_beta 120.13
_cell_angle_gamma 69.07
_space_group_name_H-M_alt 'P 1'
_space_group_IT_number 1
loop_
_space_group_symop_operation_xyz
'x,y,z'
loop_
_atom_site_label
_atom_site_type_symbol
_atom_site_fract_x
_atom_site_fract_y
_atom_site_fract_z
W1 W 0.3429 0.3429 0.0000
W2 W 0.6571 0.6571 0.0000
Ca1 Ca 0.0000 0.0000 0.0000
```

Results
- total magnetization (μB per cell) = 0.0
- DFT formation energy (eV/atom) = 0.93
- D(E_F) (states/eV/atom) = 0.64

Compound: CaW3
Source: Alexandria via LeMat-Bulk
Functional: GGA-PBE
Structure: relaxed

```
data_CaW3
_cell_length_a 5.9864
_cell_length_b 5.9864
_cell_length_c 4.5184
_cell_angle_alpha 90.00
_cell_angle_beta 90.00
_cell_angle_gamma 103.22
_space_group_name_H-M_alt 'P 1'
_space_group_IT_number 1
loop_
_space_group_symop_operation_xyz
'x,y,z'
loop_
_atom_site_label
_atom_site_type_symbol
_atom_site_fract_x
_atom_site_fract_y
_atom_site_fract_z
W1 W 0.1588 0.8412 0.7500
W2 W 0.2754 0.0808 0.2500
W3 W 0.9192 0.7246 0.2500
W4 W 0.7246 0.9192 0.7500
W5 W 0.8412 0.1588 0.2500
W6 W 0.0808 0.2754 0.7500
Ca1 Ca 0.3901 0.6099 0.2500
Ca2 Ca 0.6099 0.3901 0.7500
```

Results
- total magnetization (μB per cell) = 0.0
- DFT formation energy (eV/atom) = 0.81
- D(E_F) (states/eV/atom) = 0.89

Compound: CaW4
Source: Alexandria via LeMat-Bulk
Functional: GGA-PBE
Structure: relaxed

```
data_CaW4
_cell_length_a 5.0864
_cell_length_b 5.0864
_cell_length_c 5.0864
_cell_angle_alpha 109.47
_cell_angle_beta 109.47
_cell_angle_gamma 109.47
_space_group_name_H-M_alt 'P 1'
_space_group_IT_number 1
loop_
_space_group_symop_operation_xyz
'x,y,z'
loop_
_atom_site_label
_atom_site_type_symbol
_atom_site_fract_x
_atom_site_fract_y
_atom_site_fract_z
W1 W 0.0000 0.0000 0.5000
W2 W 0.0000 0.5000 0.0000
W3 W 0.5000 0.5000 0.5000
W4 W 0.5000 0.0000 0.0000
Ca1 Ca 0.0000 0.0000 0.0000
```

Results
- total magnetization (μB per cell) = 0.0
- DFT formation energy (eV/atom) = 2.83
- D(E_F) (states/eV/atom) = 0.76

Compound: Ca2W
Source: Alexandria via LeMat-Bulk
Functional: GGA-PBE
Structure: relaxed

```
data_Ca2W
_cell_length_a 5.9171
_cell_length_b 5.9171
_cell_length_c 5.9171
_cell_angle_alpha 60.00
_cell_angle_beta 60.00
_cell_angle_gamma 60.00
_space_group_name_H-M_alt 'P 1'
_space_group_IT_number 1
loop_
_space_group_symop_operation_xyz
'x,y,z'
loop_
_atom_site_label
_atom_site_type_symbol
_atom_site_fract_x
_atom_site_fract_y
_atom_site_fract_z
W1 W 0.7500 0.7500 0.7500
W2 W 0.5000 0.5000 0.5000
Ca1 Ca 0.6250 0.1250 0.1250
Ca2 Ca 0.1250 0.1250 0.6250
Ca3 Ca 0.1250 0.6250 0.1250
Ca4 Ca 0.1250 0.1250 0.1250
```

Results
- total magnetization (μB per cell) = 0.4
- DFT formation energy (eV/atom) = 1.77
- D(E_F) (states/eV/atom) = 1.97

Compound: Ca4W
Source: Alexandria via LeMat-Bulk
Functional: GGA-PBE
Structure: relaxed

```
data_Ca4W
_cell_length_a 5.7152
_cell_length_b 5.7152
_cell_length_c 5.7152
_cell_angle_alpha 90.00
_cell_angle_beta 90.00
_cell_angle_gamma 90.00
_space_group_name_H-M_alt 'P 1'
_space_group_IT_number 1
loop_
_space_group_symop_operation_xyz
'x,y,z'
loop_
_atom_site_label
_atom_site_type_symbol
_atom_site_fract_x
_atom_site_fract_y
_atom_site_fract_z
Ca1 Ca 0.5000 0.0000 0.5000
Ca2 Ca 0.0000 0.5000 0.5000
Ca3 Ca 0.5000 0.5000 0.0000
Ca4 Ca 0.0000 0.0000 0.0000
W1 W 0.5000 0.5000 0.5000
```

Results
- total magnetization (μB per cell) = 1.1
- DFT formation energy (eV/atom) = 0.83
- D(E_F) (states/eV/atom) = 1.02

Compound: CaW4
Source: Alexandria via LeMat-Bulk
Functional: GGA-PBE
Structure: relaxed

```
data_CaW4
_cell_length_a 4.5096
_cell_length_b 4.5096
_cell_length_c 4.5096
_cell_angle_alpha 90.00
_cell_angle_beta 90.00
_cell_angle_gamma 90.00
_space_group_name_H-M_alt 'P 1'
_space_group_IT_number 1
loop_
_space_group_symop_operation_xyz
'x,y,z'
loop_
_atom_site_label
_atom_site_type_symbol
_atom_site_fract_x
_atom_site_fract_y
_atom_site_fract_z
W1 W 0.5000 0.5000 0.0000
W2 W 0.0000 0.0000 0.0000
W3 W 0.5000 0.0000 0.5000
W4 W 0.0000 0.5000 0.5000
Ca1 Ca 0.5000 0.5000 0.5000
```

Results
- total magnetization (μB per cell) = 0.0
- DFT formation energy (eV/atom) = 3.23
- D(E_F) (states/eV/atom) = 0.85

Compound: CaW3
Source: Alexandria via LeMat-Bulk
Functional: GGA-PBE
Structure: relaxed

```
data_CaW3
_cell_length_a 3.1816
_cell_length_b 3.1816
_cell_length_c 7.6928
_cell_angle_alpha 90.00
_cell_angle_beta 90.00
_cell_angle_gamma 90.00
_space_group_name_H-M_alt 'P 1'
_space_group_IT_number 1
loop_
_space_group_symop_operation_xyz
'x,y,z'
loop_
_atom_site_label
_atom_site_type_symbol
_atom_site_fract_x
_atom_site_fract_y
_atom_site_fract_z
W1 W 0.5000 0.5000 0.6952
W2 W 0.0000 0.0000 0.5000
W3 W 0.5000 0.5000 0.3048
Ca1 Ca 0.0000 0.0000 0.0000
```

Results
- total magnetization (μB per cell) = 0.0
- DFT formation energy (eV/atom) = 0.70
- D(E_F) (states/eV/atom) = 1.30

Compound: Ca2W
Source: Alexandria via LeMat-Bulk
Functional: GGA-PBE
Structure: relaxed

```
data_Ca2W
_cell_length_a 8.5037
_cell_length_b 8.5037
_cell_length_c 3.9720
_cell_angle_alpha 90.00
_cell_angle_beta 90.00
_cell_angle_gamma 138.45
_space_group_name_H-M_alt 'P 1'
_space_group_IT_number 1
loop_
_space_group_symop_operation_xyz
'x,y,z'
loop_
_atom_site_label
_atom_site_type_symbol
_atom_site_fract_x
_atom_site_fract_y
_atom_site_fract_z
Ca1 Ca 0.6117 0.8948 0.7500
Ca2 Ca 0.8948 0.6117 0.7500
Ca3 Ca 0.1052 0.3883 0.2500
Ca4 Ca 0.3883 0.1052 0.2500
W1 W 0.1286 0.1286 0.7500
W2 W 0.8714 0.8714 0.2500
```

Results
- total magnetization (μB per cell) = 0.0
- DFT formation energy (eV/atom) = 0.63
- D(E_F) (states/eV/atom) = 1.17

Compound: Ca2W
Source: Alexandria via LeMat-Bulk
Functional: GGA-PBE
Structure: relaxed

```
data_Ca2W
_cell_length_a 5.3941
_cell_length_b 5.3941
_cell_length_c 2.7966
_cell_angle_alpha 90.00
_cell_angle_beta 90.00
_cell_angle_gamma 120.00
_space_group_name_H-M_alt 'P 1'
_space_group_IT_number 1
loop_
_space_group_symop_operation_xyz
'x,y,z'
loop_
_atom_site_label
_atom_site_type_symbol
_atom_site_fract_x
_atom_site_fract_y
_atom_site_fract_z
Ca1 Ca 0.3333 0.6667 0.4994
Ca2 Ca 0.6667 0.3333 0.5006
W1 W 0.0000 0.0000 0.0000
```

Results
- total magnetization (μB per cell) = 0.0
- DFT formation energy (eV/atom) = 0.94
- D(E_F) (states/eV/atom) = 0.89

Compound: CaW
Source: Alexandria via LeMat-Bulk
Functional: GGA-PBE
Structure: relaxed

```
data_CaW
_cell_length_a 2.9876
_cell_length_b 2.9876
_cell_length_c 10.7566
_cell_angle_alpha 90.00
_cell_angle_beta 90.00
_cell_angle_gamma 120.00
_space_group_name_H-M_alt 'P 1'
_space_group_IT_number 1
loop_
_space_group_symop_operation_xyz
'x,y,z'
loop_
_atom_site_label
_atom_site_type_symbol
_atom_site_fract_x
_atom_site_fract_y
_atom_site_fract_z
W1 W 0.3333 0.6667 0.2500
W2 W 0.6667 0.3333 0.7500
Ca1 Ca 0.0000 0.0000 0.5000
Ca2 Ca 0.0000 0.0000 0.0000
```

Results
- total magnetization (μB per cell) = 0.0
- DFT formation energy (eV/atom) = 1.08
- D(E_F) (states/eV/atom) = 1.32

Compound: CaW2
Source: Alexandria via LeMat-Bulk
Functional: GGA-PBE
Structure: relaxed

```
data_CaW2
_cell_length_a 9.6628
_cell_length_b 9.6628
_cell_length_c 4.5999
_cell_angle_alpha 90.00
_cell_angle_beta 90.00
_cell_angle_gamma 163.83
_space_group_name_H-M_alt 'P 1'
_space_group_IT_number 1
loop_
_space_group_symop_operation_xyz
'x,y,z'
loop_
_atom_site_label
_atom_site_type_symbol
_atom_site_fract_x
_atom_site_fract_y
_atom_site_fract_z
Ca1 Ca 0.3793 0.6207 0.2500
Ca2 Ca 0.6207 0.3793 0.7500
W1 W 0.2784 0.7216 0.7500
W2 W 0.7216 0.2784 0.2500
W3 W 0.0310 0.9690 0.2500
W4 W 0.9690 0.0310 0.7500
```

Results
- total magnetization (μB per cell) = 0.0
- DFT formation energy (eV/atom) = 0.94
- D(E_F) (states/eV/atom) = 0.45

Compound: CaW2
Source: Alexandria via LeMat-Bulk
Functional: GGA-PBE
Structure: relaxed

```
data_CaW2
_cell_length_a 7.9543
_cell_length_b 7.9543
_cell_length_c 7.9543
_cell_angle_alpha 160.30
_cell_angle_beta 160.30
_cell_angle_gamma 27.99
_space_group_name_H-M_alt 'P 1'
_space_group_IT_number 1
loop_
_space_group_symop_operation_xyz
'x,y,z'
loop_
_atom_site_label
_atom_site_type_symbol
_atom_site_fract_x
_atom_site_fract_y
_atom_site_fract_z
W1 W 0.3248 0.3248 0.0000
W2 W 0.6752 0.6752 0.0000
Ca1 Ca 0.0000 0.0000 0.0000
```

Results
- total magnetization (μB per cell) = 0.0
- DFT formation energy (eV/atom) = 0.92
- D(E_F) (states/eV/atom) = 1.34